# BaHg2I6

BaHg2I6 after structural relaxation (GGA-PBE, Alexandria).

N(E_F)   0.00 states/eV/cell
Energy   -18.67 eV per formula unit
E above lowest polymorph   0.0 kJ per mole of atoms
Mass density   4.828 Mg/m³
Formation energy without anion corrections   -760.3 meV/atom

abc: 10.6253 10.6253 8.0998
angles: 98.36 98.36 86.28
Element x y z (fractional)
Ba 0.1200 0.8800 0.7500
Ba 0.8800 0.1200 0.2500
Hg 0.2354 0.3881 0.7048
Hg 0.3881 0.2354 0.2048
Hg 0.6119 0.7646 0.7952
Hg 0.7646 0.6119 0.2952
I 0.0379 0.1965 0.6581
I 0.1504 0.5989 0.9186
I 0.1965 0.0379 0.1581
I 0.2631 0.4503 0.3831
I 0.4011 0.8496 0.5814
I 0.4503 0.2631 0.8831
I 0.5497 0.7369 0.1169
I 0.5989 0.1504 0.4186
I 0.7369 0.5497 0.6169
I 0.8035 0.9621 0.8419
I 0.8496 0.4011 0.0814
I 0.9621 0.8035 0.3419



# Pr6Ru2N

Pr6Ru2N after structural relaxation (GGA-PBE, Alexandria).

N(E_F)   14.21 states/eV/cell
Energy   -59.20 eV per formula unit
Mass density   7.288 Mg/m³
Formation energy without anion corrections   -404.7 meV/atom

abc: 6.7102 7.4014 11.7692
angles: 90.00 124.15 90.00
Element x y z (fractional)
Pr 0.1168 0.0494 0.2427
Pr 0.1168 0.4506 0.7427
Pr 0.2343 0.6906 0.0652
Pr 0.2343 0.8094 0.5652
Pr 0.3741 0.1670 0.0617
Pr 0.3741 0.3330 0.5617
Pr 0.6259 0.6670 0.4383
Pr 0.6259 0.8330 0.9383
Pr 0.7657 0.1906 0.4348
Pr 0.7657 0.3094 0.9348
Pr 0.8832 0.5494 0.2573
Pr 0.8832 0.9506 0.7573
Ru 0.2896 0.0993 0.7554
Ru 0.2896 0.4007 0.2554
Ru 0.7104 0.5993 0.7446
Ru 0.7104 0.9007 0.2446
N 0.0000 0.0000 0.0000
N 0.0000 0.5000 0.5000



# Li2CaTm2Sn2

Li2CaTm2Sn2 after structural relaxation (GGA-PBE, Alexandria).

ΔH_f (0 K)   -0.445 eV/atom
N(E_F)   3.34 states/eV/cell
Energy   -25.89 eV per formula unit
Mass density   5.817 Mg/m³

abc: 9.3946 9.3946 9.3946
angles: 29.65 29.65 29.65
Element x y z (fractional)
Li 0.0889 0.0889 0.0889
Li 0.9111 0.9111 0.9111
Ca 0.5000 0.5000 0.5000
Tm 0.3694 0.3694 0.3694
Tm 0.6306 0.6306 0.6306
Sn 0.2444 0.2444 0.2444
Sn 0.7556 0.7556 0.7556



# PuZnCu2O8

PuZnCu2O8 after structural relaxation (GGA-PBE, Alexandria).

N(E_F)   7.48 states/eV/cell
Energy   -74.55 eV per formula unit
Mass density   6.539 Mg/m³
Formation energy without anion corrections   -924.1 meV/atom

abc: 5.7178 5.7178 5.7178
angles: 111.56 111.56 105.38
Element x y z (fractional)
Pu 0.0000 0.0000 0.0000
Zn 0.7500 0.2500 0.5000
Cu 0.2500 0.7500 0.5000
Cu 0.5000 0.5000 0.0000
O 0.0498 0.3471 0.2973
O 0.0498 0.7525 0.7027
O 0.1124 0.2973 0.8151
O 0.2475 0.9502 0.2973
O 0.4822 0.2973 0.1849
O 0.6529 0.9502 0.7027
O 0.7027 0.5178 0.8151
O 0.7027 0.8876 0.1849



# AsP4Ru

AsP4Ru after structural relaxation (GGA-PBE, Alexandria).

ΔH_f (0 K)   0.873 eV/atom
N(E_F)   4.58 states/eV/cell
Energy   -30.33 eV per formula unit
Mass density   5.509 Mg/m³

abc: 5.0377 5.0377 5.0377
angles: 60.00 60.00 60.00
Element x y z (fractional)
As 0.0000 0.0000 0.0000
P 0.1123 0.6292 0.6292
P 0.6292 0.1123 0.6292
P 0.6292 0.6292 0.1123
P 0.6292 0.6292 0.6292
Ru 0.2500 0.2500 0.2500



# Tb3Zn2Ga

Tb3Zn2Ga after structural relaxation (GGA-PBE, Alexandria).

ΔH_f (0 K)   -0.419 eV/atom
N(E_F)   6.93 states/eV/cell
Energy   -21.98 eV per formula unit
E above lowest polymorph   0.5 kJ per mole of atoms
Mass density   8.122 Mg/m³

abc: 3.5725 3.5725 10.8501
angles: 90.00 90.00 90.00
Element x y z (fractional)
Tb 0.0000 0.0000 0.0000
Tb 0.0000 0.0000 0.3322
Tb 0.0000 0.0000 0.6678
Zn 0.5000 0.5000 0.1630
Zn 0.5000 0.5000 0.8370
Ga 0.5000 0.5000 0.5000



# ZrAgRu

ZrAgRu after structural relaxation (GGA-PBE, Alexandria).

ΔH_f (0 K)   0.510 eV/atom
N(E_F)   10.13 states/eV/cell
Energy   -19.15 eV per formula unit
E above lowest polymorph   59.3 kJ per mole of atoms
Mass density   7.943 Mg/m³

abc: 6.3079 6.3079 6.3079
angles: 90.00 90.00 90.00
Element x y z (fractional)
Zr 0.0000 0.0000 0.0000
Zr 0.0000 0.5000 0.5000
Zr 0.5000 0.0000 0.5000
Zr 0.5000 0.5000 0.0000
Ag 0.2500 0.2500 0.2500
Ag 0.2500 0.7500 0.7500
Ag 0.7500 0.2500 0.7500
Ag 0.7500 0.7500 0.2500
Ru 0.2500 0.2500 0.7500
Ru 0.2500 0.7500 0.2500
Ru 0.7500 0.2500 0.2500
Ru 0.7500 0.7500 0.7500



# Nd3HgPd3

Nd3HgPd3 after structural relaxation (GGA-PBE, Alexandria).

ΔH_f (0 K)   -0.504 eV/atom
N(E_F)   8.31 states/eV/cell
Energy   -33.71 eV per formula unit
Mass density   7.952 Mg/m³

abc: 8.9179 8.9179 5.7763
angles: 90.00 90.00 120.00
Element x y z (fractional)
Nd 0.0428 0.6769 0.2500
Nd 0.3231 0.3659 0.2500
Nd 0.3659 0.0428 0.7500
Nd 0.6341 0.9572 0.2500
Nd 0.6769 0.6341 0.7500
Nd 0.9572 0.3231 0.7500
Hg 0.3333 0.6667 0.7500
Hg 0.6667 0.3333 0.2500
Pd 0.0317 0.6928 0.7500
Pd 0.3072 0.3389 0.7500
Pd 0.3389 0.0317 0.2500
Pd 0.6611 0.9683 0.7500
Pd 0.6928 0.6611 0.2500
Pd 0.9683 0.3072 0.2500



# Tb4Tm5Sb2

Tb4Tm5Sb2 after structural relaxation (GGA-PBE, Alexandria).

N(E_F)   17.70 states/eV/cell
Energy   -48.33 eV per formula unit
Mass density   7.980 Mg/m³
Formation energy without anion corrections   72.5 meV/atom

abc: 5.1692 5.1692 15.7967
angles: 99.42 99.42 59.93
Element x y z (fractional)
Tb 0.0703 0.0703 0.2111
Tb 0.2241 0.2241 0.6724
Tb 0.7759 0.7759 0.3276
Tb 0.9297 0.9297 0.7889
Tm 0.0000 0.0000 0.0000
Tm 0.1473 0.1473 0.4421
Tm 0.3030 0.3030 0.9092
Tm 0.6970 0.6970 0.0908
Tm 0.8527 0.8527 0.5579
Sb 0.3727 0.3727 0.1173
Sb 0.6273 0.6273 0.8827



# ReAsRu2

ReAsRu2 after structural relaxation (GGA-PBE, Alexandria).

ΔH_f (0 K)   0.562 eV/atom
N(E_F)   11.39 states/eV/cell
Energy   -33.40 eV per formula unit
Mass density   12.717 Mg/m³

abc: 2.8563 4.7821 8.8574
angles: 90.00 90.00 90.00
Element x y z (fractional)
Re 0.0000 0.0000 0.0000
Re 0.5000 0.5000 0.0000
As 0.0000 0.5000 0.7349
As 0.5000 0.0000 0.7349
Ru 0.0000 0.0000 0.5021
Ru 0.0000 0.5000 0.2433
Ru 0.5000 0.0000 0.2433
Ru 0.5000 0.5000 0.5021



# Cd2CuHg

Cd2CuHg after structural relaxation (GGA-PBE, Alexandria).

ΔH_f (0 K)   0.063 eV/atom
N(E_F)   3.28 states/eV/cell
Energy   -5.98 eV per formula unit
Mass density   9.546 Mg/m³

abc: 2.9210 4.6404 12.5497
angles: 90.00 90.00 90.00
Element x y z (fractional)
Cd 0.0000 0.0000 0.1920
Cd 0.0000 0.0000 0.8080
Cd 0.5000 0.5000 0.3080
Cd 0.5000 0.5000 0.6920
Cu 0.0000 0.5000 0.5000
Cu 0.5000 0.0000 0.0000
Hg 0.0000 0.5000 0.0000
Hg 0.5000 0.0000 0.5000



# MnTl2Se

MnTl2Se after structural relaxation (GGA-PBE, Alexandria).

N(E_F)   3.72 states/eV/cell
Energy   -16.48 eV per formula unit
E above lowest polymorph   27.2 kJ per mole of atoms
Mass density   8.925 Mg/m³
Formation energy without anion corrections   227.2 meV/atom

abc: 6.1774 8.1253 4.0231
angles: 90.00 90.00 90.00
Element x y z (fractional)
Mn 0.0000 0.0000 0.0000
Mn 0.5000 0.5000 0.0000
Tl 0.2500 0.2500 0.5000
Tl 0.2500 0.7500 0.5000
Tl 0.7500 0.2500 0.5000
Tl 0.7500 0.7500 0.5000
Se 0.0000 0.5000 0.0000
Se 0.5000 0.0000 0.0000